[1]
VASP calculation (PBE) on an optimized crystal structure of Ac2HoCd.

Cell lengths 3.7648, 3.7648, 38.6526 Å; angles 90.00, 90.00, 120.00 degrees
Space group R-3m (No. 166, hexagonal axes)
Unique sites:
Ac 0.0000 0.0000 0.0899 (multiplicity 6)
Ho 0.0000 0.0000 0.5000 (multiplicity 3)
Cd 0.0000 0.0000 0.0000 (multiplicity 3)

Properties
polymorph energy (0 for the lowest one) = 301 meV per atom
N(E_F) = 14.499 states/eV/cell
ΔH_f (0 K) = 0.199 eV/atom
VASP energy = -3.2281 eV/atom
magnetic moment = 0.0 μB per formula unit

[2]
VASP calculation (PBE) on an optimized crystal structure of Ho6InGa2.

Cell lengths 9.610, 9.612, 10.554 Å; angles 90.00, 90.00, 90.00 degrees
Space group Immm (No. 71)
Unique sites:
Ho 0.000 0.202 0.240 (multiplicity 8)
Ho 0.203 0.500 0.179 (multiplicity 8)
Ho 0.222 0.316 0.500 (multiplicity 8)
In 0.000 0.000 0.000 (multiplicity 2)
In 0.000 0.000 0.500 (multiplicity 2)
Ga 0.000 0.352 0.000 (multiplicity 4)
Ga 0.000 0.500 0.379 (multiplicity 4)

Properties
N(E_F) = 21.292 states/eV/cell
ΔH_f (0 K) = -0.429 eV/atom
VASP energy = -4.4581 eV/atom
magnetic moment = 0.0 μB per formula unit

[3]
VASP calculation (PBE) on an optimized crystal structure of BiHBr3.

Cell lengths 14.813, 4.252, 11.888 Å; angles 90.00, 105.41, 90.00 degrees
Space group C2/m (No. 12)
Unique sites:
Bi 0.246 0.000 0.317 (multiplicity 4)
H 0.052 0.500 0.881 (multiplicity 4)
Br 0.130 0.000 0.715 (multiplicity 4)
Br 0.137 0.500 0.399 (multiplicity 4)
Br 0.140 0.000 0.103 (multiplicity 4)

Properties
polymorph energy (0 for the lowest one) = 326 meV per atom
N(E_F) = 0.000 states/eV/cell
VASP energy = -2.5682 eV/atom
magnetic moment = 1.0 μB per formula unit

Question: The highest magnetic moment belongs to which entry?
Answer: BiHBr3

Question: What is the formula in the third record?
Answer: BiHBr3